First-principles (PBE-GGA) data for a relaxed structure of SrPr2Ge2, as listed in Alexandria via LeMat-Bulk.

abc: 3.9766 6.0509 6.8182
angles: 101.12 106.95 90.00
With the nearest neighbours (Å) after each atom.
Element x y z (fractional)
Sr (0.0000, 0.0000, 0.0000)  4 Ge 3.35
Pr (0.3547, 0.4363, 0.7093)  4 Ge 3.11-3.18
Pr (0.6453, 0.5637, 0.2907)  4 Ge 3.11-3.18
Ge (0.7114, 0.0983, 0.4229)  2 Ge 2.62
Ge (0.2885, 0.9017, 0.5771)  2 Ge 2.62

Calculated values
E_tot in eV/cell: -22.75
Energy of formation in eV/atom: -0.455
Magnetization in μB per formula unit: 0.0
V in Å³/f.u.: 154